# 1
The following is a PBE with a Hubbard U calculation of an optimized crystal structure of LiSi2NiO6, from Alexandria via LeMat-Bulk.

abc: 5.3437 5.3643 5.5444
angles: 90.00 90.00 119.87
Each line ends with the local moment (μB).
Atoms (fractional coordinates):
Si: 0.5000 0.5000 0.1661  0.01
O: 0.8694 0.2107 0.6670  0.17
O: 0.7371 0.4742 0.0000  0.02
Ni: 0.0000 0.0000 0.5000  2.13
O: 0.2629 0.5258 0.0000  0.02
Si: 0.0000 0.5000 0.8339  0.01
Li: 0.5000 0.0000 0.5000  0.00
O: 0.3414 0.2107 0.3330  0.17
O: 0.6586 0.7893 0.3330  0.17
O: 0.1306 0.7893 0.6670  0.17

## Properties
Final energy, Ry per atom: -0.488
Total magnetic moment, μB/f.u.: 3.03
SG: C222 (21)


# 2
The following is a PBE with a Hubbard U calculation of an optimized crystal structure of PaTl4Cr3O12, from Alexandria via LeMat-Bulk.

abc: 7.0003 7.0003 7.0003
angles: 109.47 109.47 109.47
Each line ends with the local moment (μB).
Atoms (fractional coordinates):
O: 0.7500 0.5000 0.2500  -0.20
O: 0.7368 0.0000 0.7368  -0.02
O: 0.5000 0.2500 0.7500  -0.20
Tl: 0.0000 0.5000 0.0000  -0.03
Pa: 0.0000 0.0000 0.0000  0.01
Cr: 0.0000 0.5000 0.5000  2.62
O: 0.0000 0.7368 0.7368  -0.02
O: 0.2500 0.5000 0.7500  -0.20
Tl: 0.5000 0.5000 0.5000  -0.03
O: 0.5000 0.7500 0.2500  -0.20
O: 0.2632 0.0000 0.2632  -0.02
Cr: 0.5000 0.5000 0.0000  2.62
Tl: 0.0000 0.0000 0.5000  -0.03
O: 0.0000 0.2632 0.2632  -0.02
O: 0.7368 0.7368 0.0000  -0.02
O: 0.2632 0.2632 0.0000  -0.02
O: 0.2500 0.7500 0.5000  -0.20
Cr: 0.5000 0.0000 0.5000  2.62
Tl: 0.5000 0.0000 0.0000  -0.03
O: 0.7500 0.2500 0.5000  -0.20

## Properties
Final energy, Ry per atom: -0.475
Total magnetic moment, μB/f.u.: 6.46
SG: Im-3m (229)